Entry 1:
TlCuSn2Pb: optimized geometry, PBE-GGA.

a = 5.1336 Å, b = 5.1336 Å, c = 5.4969 Å
α = 90.00°, β = 90.00°, γ = 90.00°
Last column: nearest neighbours and their distance in Å.
Atoms (fractional coordinates):
1 Tl 0.0000 0.0000 0.0000  4 Pb 3.63, 8 Sn 3.76
2 Cu 0.5000 0.5000 0.5000  4 Sn 2.57, 2 Pb 2.75
3 Sn 0.0000 0.5000 0.5000  2 Cu 2.57
4 Sn 0.5000 0.0000 0.5000  2 Cu 2.57
5 Pb 0.5000 0.5000 0.0000  2 Cu 2.75

Results
magnetization = 0.0 μB per formula unit
formation energy = 0.22 eV per atom
uncorrected energy = -3.41 eV/atom

---

Entry 2:
ZrCuSnPb2: optimized geometry, PBE-GGA.

a = 5.7297 Å, b = 5.7297 Å, c = 5.4835 Å
α = 90.00°, β = 90.00°, γ = 90.00°
Last column: nearest neighbours and their distance in Å.
Atoms (fractional coordinates):
1 Zr 0.0000 0.0000 0.0000  2 Sn 2.74
2 Cu 0.5000 0.5000 0.0000  8 Pb 3.97, 4 Zr 4.05
3 Sn 0.0000 0.0000 0.5000  2 Zr 2.74, 4 Pb 2.86
4 Pb 0.0000 0.5000 0.5000  2 Sn 2.86
5 Pb 0.5000 0.0000 0.5000  2 Sn 2.86

Results
magnetization = 0.7 μB per formula unit
formation energy = 1.09 eV per atom
uncorrected energy = -3.72 eV/atom

---

Entry 3:
Sr2CuPb: optimized geometry, PBE-GGA.

a = 5.5265 Å, b = 5.5265 Å, c = 5.5265 Å
α = 60.00°, β = 60.00°, γ = 60.00°
Last column: nearest neighbours and their distance in Å.
Atoms (fractional coordinates):
1 Sr 0.0000 0.0000 0.0000  4 Pb 3.38, 4 Sr 3.38
2 Sr 0.2500 0.2500 0.2500  4 Cu 3.38, 4 Sr 3.38
3 Cu 0.5000 0.5000 0.5000  4 Pb 3.38, 4 Sr 3.38
4 Pb 0.7500 0.7500 0.7500  4 Cu 3.38, 4 Sr 3.38

Results
magnetization = 0.0 μB per formula unit
formation energy = 0.03 eV per atom
uncorrected energy = -2.76 eV/atom

---

Entry 4:
Sr2Cu2Pb: optimized geometry, PBE-GGA.

a = 5.7940 Å, b = 5.7940 Å, c = 5.7940 Å
α = 116.58°, β = 116.58°, γ = 96.03°
Last column: nearest neighbours and their distance in Å.
Atoms (fractional coordinates):
1 Sr 0.2500 0.7500 0.5000  4 Cu 3.14
2 Sr 0.7500 0.2500 0.5000  4 Cu 3.14
3 Cu 0.1492 0.1492 0.0000  1 Cu 2.31
4 Cu 0.8508 0.8508 0.0000  1 Cu 2.31
5 Pb 0.5000 0.5000 0.0000  2 Cu 2.72

Results
magnetization = 0.0 μB per formula unit
formation energy = -0.12 eV per atom
uncorrected energy = -3.17 eV/atom

---

Entry 5:
Sr2CuPb: optimized geometry, PBE-GGA.

a = 3.8707 Å, b = 3.8707 Å, c = 9.0587 Å
α = 90.00°, β = 90.00°, γ = 90.00°
Last column: nearest neighbours and their distance in Å.
Atoms (fractional coordinates):
1 Sr 0.0000 0.0000 0.0000  4 Pb 3.57, 1 Cu 3.60, 4 Sr 3.87
2 Sr 0.5000 0.5000 0.3866  1 Pb 3.27, 4 Cu 3.36
3 Cu 0.0000 0.0000 0.6027  4 Pb 3.04, 4 Sr 3.36
4 Pb 0.5000 0.5000 0.7476  4 Cu 3.04, 1 Sr 3.27

Results
magnetization = 0.0 μB per formula unit
formation energy = -0.04 eV per atom
uncorrected energy = -2.83 eV/atom

---

Entry 6:
Sr2CuPb: optimized geometry, PBE-GGA.

a = 3.8904 Å, b = 5.7053 Å, c = 5.7074 Å
α = 90.00°, β = 90.00°, γ = 90.00°
Last column: nearest neighbours and their distance in Å.
Atoms (fractional coordinates):
1 Sr 0.0000 0.0000 0.0000  4 Pb 3.45-3.46, 4 Cu 3.45
2 Sr 0.0000 0.5000 0.4970  4 Cu 3.43-3.48, 4 Pb 3.45
3 Cu 0.5000 0.5000 0.9912  8 Sr 3.43-3.48
4 Pb 0.5000 0.0000 0.5011  8 Sr 3.45-3.46

Results
magnetization = 0.0 μB per formula unit
formation energy = -0.25 eV per atom
uncorrected energy = -3.04 eV/atom

---

Entry 7:
Sr2CuPb: optimized geometry, PBE-GGA.

a = 7.1463 Å, b = 7.1463 Å, c = 7.1463 Å
α = 104.75°, β = 104.75°, γ = 119.40°
Last column: nearest neighbours and their distance in Å.
Atoms (fractional coordinates):
1 Sr 0.0877 0.1250 0.4627  2 Cu 3.00
2 Sr 0.3750 0.9123 0.0373  2 Cu 3.00
3 Sr 0.6623 0.6250 0.5373  2 Cu 3.00
4 Sr 0.8750 0.3377 0.9627  2 Cu 3.00
5 Cu 0.0000 0.0000 0.0000  4 Sr 3.00
6 Cu 0.7500 0.2500 0.5000  4 Sr 3.00
7 Pb 0.2500 0.7500 0.5000  4 Sr 3.44, 2 Cu 3.61
8 Pb 0.5000 0.5000 0.0000  4 Sr 3.44, 2 Cu 3.61

Results
magnetization = 0.0 μB per formula unit
formation energy = 0.01 eV per atom
uncorrected energy = -2.78 eV/atom

---

Entry 8:
SrCuPb: optimized geometry, PBE-GGA.

a = 4.8619 Å, b = 4.8619 Å, c = 3.9861 Å
α = 90.00°, β = 90.00°, γ = 120.00°
Last column: nearest neighbours and their distance in Å.
Atoms (fractional coordinates):
1 Sr 0.0000 0.0000 0.0000  6 Pb 3.44, 6 Cu 3.44
2 Cu 0.6667 0.3333 0.5000  3 Pb 2.81
3 Pb 0.3333 0.6667 0.5000  3 Cu 2.81

Results
magnetization = 0.0 μB per formula unit
formation energy = -0.28 eV per atom
uncorrected energy = -3.44 eV/atom

---

Entry 9:
SrCuPb: optimized geometry, PBE-GGA.

a = 6.4492 Å, b = 6.7535 Å, c = 8.6068 Å
α = 90.00°, β = 116.17°, γ = 90.00°
Last column: nearest neighbours and their distance in Å.
Atoms (fractional coordinates):
1 Sr 0.2095 0.1432 0.3882  5 Cu 3.40-3.53, 6 Pb 3.46-3.68
2 Sr 0.2095 0.3568 0.8882  5 Cu 3.40-3.53, 6 Pb 3.46-3.68
3 Sr 0.7905 0.6432 0.1118  5 Cu 3.40-3.53, 6 Pb 3.46-3.68
4 Sr 0.7905 0.8568 0.6118  5 Cu 3.40-3.53, 6 Pb 3.46-3.68
5 Cu 0.3793 0.5944 0.2729  3 Pb 2.65-2.76
6 Cu 0.3793 0.9056 0.7729  3 Pb 2.65-2.76
7 Cu 0.6207 0.0944 0.2271  3 Pb 2.65-2.76
8 Cu 0.6207 0.4056 0.7271  3 Pb 2.65-2.76
9 Pb 0.2417 0.6261 0.5328  3 Cu 2.65-2.76
10 Pb 0.2417 0.8739 0.0328  3 Cu 2.65-2.76
11 Pb 0.7583 0.1261 0.9672  3 Cu 2.65-2.76
12 Pb 0.7583 0.3739 0.4672  3 Cu 2.65-2.76

Results
magnetization = 0.0 μB per formula unit
formation energy = -0.24 eV per atom
uncorrected energy = -3.40 eV/atom

---

Entry 10:
Sr2Cu2Pb: optimized geometry, PBE-GGA.

a = 10.3590 Å, b = 10.3590 Å, c = 10.3590 Å
α = 159.70°, β = 159.70°, γ = 28.86°
Last column: nearest neighbours and their distance in Å.
Atoms (fractional coordinates):
1 Sr 0.1212 0.1212 0.0000  4 Cu 3.16
2 Sr 0.8788 0.8788 0.0000  4 Cu 3.16
3 Cu 0.2500 0.7500 0.5000  4 Cu 2.58
4 Cu 0.7500 0.2500 0.5000  4 Cu 2.58
5 Pb 0.5000 0.5000 0.0000  8 Sr 3.55, 4 Pb 3.65

Results
magnetization = 0.0 μB per formula unit
formation energy = -0.12 eV per atom
uncorrected energy = -3.17 eV/atom

---

Entry 11:
Sr2CuPb: optimized geometry, PBE-GGA.

a = 4.7129 Å, b = 4.7129 Å, c = 6.6931 Å
α = 90.00°, β = 90.00°, γ = 90.00°
Last column: nearest neighbours and their distance in Å.
Atoms (fractional coordinates):
1 Sr 0.0000 0.0000 0.0000  4 Pb 3.33, 2 Cu 3.35
2 Sr 0.5000 0.5000 0.4947  4 Cu 3.33, 2 Pb 3.34-3.35
3 Cu 0.0000 0.0000 0.5002  6 Sr 3.33-3.35
4 Pb 0.5000 0.5000 0.9940  6 Sr 3.33-3.35

Results
magnetization = 0.0 μB per formula unit
formation energy = -0.07 eV per atom
uncorrected energy = -2.86 eV/atom

---

Entry 12:
Sr2CuPb: optimized geometry, PBE-GGA.

a = 6.8910 Å, b = 6.8910 Å, c = 6.8910 Å
α = 147.31°, β = 134.35°, γ = 57.28°
Last column: nearest neighbours and their distance in Å.
Atoms (fractional coordinates):
1 Sr 0.0000 0.0000 0.0000  4 Cu 3.32, 2 Pb 3.61, 2 Sr 3.63
2 Sr 0.7036 0.2036 0.5000  2 Cu 3.38, 4 Pb 3.50, 2 Sr 3.63
3 Cu 0.4745 0.4745 0.0000  2 Pb 2.87
4 Pb 0.3000 0.8000 0.5000  2 Cu 2.87

Results
magnetization = 0.0 μB per formula unit
formation energy = -0.20 eV per atom
uncorrected energy = -3.00 eV/atom

---

Entry 13:
Sr3CuPb2: optimized geometry, PBE-GGA.

a = 13.5240 Å, b = 4.4413 Å, c = 13.8841 Å
α = 90.00°, β = 90.00°, γ = 90.00°
Last column: nearest neighbours and their distance in Å.
Atoms (fractional coordinates):
1 Sr 0.0507 0.2500 0.1264  5 Pb 3.45-3.65, 1 Cu 3.61
2 Sr 0.1174 0.7500 0.5481  3 Cu 3.29-3.54, 5 Pb 3.49-3.50
3 Sr 0.2185 0.2500 0.7923  2 Cu 3.21, 4 Pb 3.51-3.58
4 Sr 0.2815 0.7500 0.2923  2 Cu 3.21, 4 Pb 3.51-3.58
5 Sr 0.3826 0.2500 0.0481  3 Cu 3.29-3.54, 5 Pb 3.49-3.50
6 Sr 0.4493 0.7500 0.6264  5 Pb 3.45-3.65, 1 Cu 3.61
7 Sr 0.5507 0.2500 0.3736  5 Pb 3.45-3.65, 1 Cu 3.61
8 Sr 0.6174 0.7500 0.9519  3 Cu 3.29-3.54, 5 Pb 3.49-3.50
9 Sr 0.7185 0.2500 0.7077  2 Cu 3.21, 4 Pb 3.51-3.58
10 Sr 0.7815 0.7500 0.2077  2 Cu 3.21, 4 Pb 3.51-3.58
11 Sr 0.8826 0.2500 0.4519  3 Cu 3.29-3.54, 5 Pb 3.49-3.50
12 Sr 0.9493 0.7500 0.8736  5 Pb 3.45-3.65, 1 Cu 3.61
13 Cu 0.1319 0.2500 0.3741  3 Pb 2.79-2.85
14 Cu 0.3681 0.7500 0.8741  3 Pb 2.79-2.85
15 Cu 0.6319 0.2500 0.1259  3 Pb 2.79-2.85
16 Cu 0.8681 0.7500 0.6259  3 Pb 2.79-2.85
17 Pb 0.0227 0.7500 0.3144  2 Cu 2.79
18 Pb 0.1925 0.7500 0.9870  1 Cu 2.85
19 Pb 0.3075 0.2500 0.4870  1 Cu 2.85
20 Pb 0.4773 0.2500 0.8144  2 Cu 2.79
21 Pb 0.5227 0.7500 0.1856  2 Cu 2.79
22 Pb 0.6925 0.7500 0.5130  1 Cu 2.85
23 Pb 0.8075 0.2500 0.0130  1 Cu 2.85
24 Pb 0.9773 0.2500 0.6856  2 Cu 2.79

Results
magnetization = 0.0 μB per formula unit
formation energy = -0.42 eV per atom
uncorrected energy = -3.17 eV/atom

---

Entry 14:
SrCuPb: optimized geometry, PBE-GGA.

a = 6.5576 Å, b = 6.5576 Å, c = 6.5576 Å
α = 147.50°, β = 147.50°, γ = 46.63°
Last column: nearest neighbours and their distance in Å.
Atoms (fractional coordinates):
1 Sr 0.0000 0.0000 0.0000  4 Cu 3.30, 5 Pb 3.46-3.65, 4 Sr 3.67
2 Cu 0.6686 0.6686 0.0000  4 Pb 2.96, 4 Sr 3.30
3 Pb 0.2871 0.2871 0.0000  4 Cu 2.96

Results
magnetization = 0.0 μB per formula unit
formation energy = -0.06 eV per atom
uncorrected energy = -3.22 eV/atom